The following is a PBE+U calculation of an optimized crystal structure of CrPb2O5, from Alexandria via LeMat-Bulk.

Lattice parameters (Å, degrees): 7.6344 7.6344 7.2912 111.32 111.32 44.76
Sites, in units of the cell vectors:
1 Cr 0.1733 0.1733 0.1584
2 Cr 0.8267 0.8267 0.8416
3 Pb 0.1417 0.1417 0.6046
4 Pb 0.4830 0.4830 0.2399
5 Pb 0.5170 0.5170 0.7601
6 Pb 0.8583 0.8583 0.3954
7 O 0.0841 0.6217 0.7343
8 O 0.1033 0.1033 0.9117
9 O 0.2523 0.7477 0.5000
10 O 0.2991 0.2991 0.2051
11 O 0.3783 0.9159 0.2657
12 O 0.6217 0.0841 0.7343
13 O 0.7009 0.7009 0.7949
14 O 0.7477 0.2523 0.5000
15 O 0.8967 0.8967 0.0883
16 O 0.9159 0.3783 0.2657

Output
Excess energy over the best structure of this formula in the dataset   0 meV per atom
V   275.1 Å³ per cell
M_tot   0.00 μB per cell